# 1
5
Lattice="5.2545 0.0000 0.0000 0.0000 5.5445 0.0000 0.0000 0.0000 5.2545" Properties=species:S:1:pos:R:3 comment="BaNa2AgB PBE relaxed" dft_energy_ev_per_atom=-2.29 delta_e_f_ev_per_atom=0.53 dos_at_fermi_per_ev_atom=0.5081 pbc="T T T"
Ag 2.6272 2.7722 2.6272
B 0.0000 0.0000 0.0000
Na 2.6272 0.0000 0.0000
Na 0.0000 0.0000 2.6272
Ba 0.0000 2.7722 0.0000

***

# 2
12
Lattice="2.5760 0.0000 0.0000 0.0000 4.6358 -0.1497 0.0000 -0.2113 6.4153" Properties=species:S:1:pos:R:3 comment="BC2 PBE relaxed" dft_energy_ev_per_atom=-8.02 delta_e_f_ev_per_atom=0.36 dos_at_fermi_per_ev_atom=0.2190 pbc="T T T"
B 0.0000 -0.2047 6.3870
B 0.0000 1.5056 2.0816
B 1.2880 3.7627 2.0473
B 0.0000 2.9810 4.1458
C 0.0000 1.3727 3.7466
C 0.0000 2.8207 5.8754
C 1.2880 2.2606 1.4568
C 1.2880 0.6454 5.7968
C 1.2880 2.0868 6.3362
C 1.2880 3.8250 3.6488
C 0.0000 4.5267 1.4399
C 1.2880 0.6472 4.2544

***

What did the second record say?
12
Lattice="2.5760 0.0000 0.0000 0.0000 4.6358 -0.1497 0.0000 -0.2113 6.4153" Properties=species:S:1:pos:R:3 comment="BC2 PBE relaxed" dft_energy_ev_per_atom=-8.02 delta_e_f_ev_per_atom=0.36 dos_at_fermi_per_ev_atom=0.2190 pbc="T T T"
B 0.0000 -0.2047 6.3870
B 0.0000 1.5056 2.0816
B 1.2880 3.7627 2.0473
B 0.0000 2.9810 4.1458
C 0.0000 1.3727 3.7466
C 0.0000 2.8207 5.8754
C 1.2880 2.2606 1.4568
C 1.2880 0.6454 5.7968
C 1.2880 2.0868 6.3362
C 1.2880 3.8250 3.6488
C 0.0000 4.5267 1.4399
C 1.2880 0.6472 4.2544